Material: NaCa2BeN
Method: DFT, PBE
State: optimized geometry

```
NaCa2BeN
1.0
5.507 0.000 0.000
0.000 4.019 0.000
0.000 0.000 5.507
N Na Ca Be
1 1 2 1
Cartesian
0.000 2.010 0.000 N
0.000 0.000 0.000 Na
0.000 0.000 2.753 Ca
2.753 0.000 0.000 Ca
2.753 2.010 2.753 Be
```

Properties
As for the space group: No. 123. As for the density of states at the Fermi level: 2.58 states/eV/f.u. The final energy is -12.1 eV/cell. The magnetic moment comes out at 0.0 μB/cell. The energy relative to the elements, uncorrected comes out at 1.05 eV per atom.